# ZrAlCdAg

A geometry-optimized ZrAlCdAg structure (PBE, the Alexandria database).

Values from the calculation:
- Calculated volume: 77 Å³/cell
- E_form: -0.069 eV per atom
- Symmetry: F-43m (216)
- DFT total energy: -0.300 Ry per atom
- Total magnetic moment: 0.000 μB/cell

a b c (Å): 4.782 4.782 4.782
angles (deg): 60.00 60.00 60.00
Atoms (fractional coordinates):
Cd (0.250, 0.250, 0.250)
Zr (0.750, 0.750, 0.750)
Al (0.000, 0.000, 0.000)
Ag (0.500, 0.500, 0.500)

# CeAl3Ag2

A geometry-optimized CeAl3Ag2 structure (PBE, the Alexandria database).

Values from the calculation:
- Calculated volume: 248 Å³/cell
- E_form: -0.186 eV per atom
- Symmetry: C2/m (12)
- DFT total energy: -0.294 Ry per atom
- Total magnetic moment: 1.467 μB/cell

a b c (Å): 4.481 8.158 7.737
angles (deg): 113.29 90.00 105.94
Atoms (fractional coordinates):
Ag (0.479, 0.958, 0.813)
Ag (0.521, 0.042, 0.187)
Ag (0.826, 0.653, 0.348)
Al (0.315, 0.630, 0.540)
Al (0.360, 0.721, 0.206)
Ce (0.147, 0.294, 0.102)
Ag (0.174, 0.347, 0.652)
Ce (0.853, 0.706, 0.898)
Al (0.995, 0.990, 0.666)
Al (0.685, 0.370, 0.460)
Al (0.005, 0.010, 0.334)
Al (0.640, 0.279, 0.794)

# Ce2Al2Ag3

A geometry-optimized Ce2Al2Ag3 structure (PBE, the Alexandria database).

Values from the calculation:
- Calculated volume: 317 Å³/cell
- E_form: -0.190 eV per atom
- Symmetry: Cmcm (63)
- DFT total energy: -0.307 Ry per atom
- Total magnetic moment: 4.144 μB/cell

a b c (Å): 4.376 7.274 10.201
angles (deg): 90.00 102.39 90.00
Atoms (fractional coordinates):
Ag (0.776, 0.250, 0.552)
Ag (0.224, 0.750, 0.448)
Ce (0.844, 0.750, 0.688)
Ce (0.058, 0.750, 0.116)
Ag (0.436, 0.559, 0.871)
Ag (0.564, 0.441, 0.129)
Al (0.693, 0.558, 0.385)
Ag (0.564, 0.059, 0.129)
Ce (0.942, 0.250, 0.884)
Al (0.693, 0.942, 0.385)
Ag (0.436, 0.941, 0.871)
Al (0.307, 0.058, 0.615)
Ce (0.156, 0.250, 0.312)
Al (0.307, 0.442, 0.615)

# CeAlAg3

A geometry-optimized CeAlAg3 structure (PBE, the Alexandria database).

Values from the calculation:
- Energy above the lowest structure with this stoichiometry: 3 kJ/mol of formula units
- Calculated volume: 105 Å³/cell
- E_form: -0.154 eV per atom
- Symmetry: Cm (8)
- DFT total energy: -0.279 Ry per atom
- Total magnetic moment: 0.809 μB/cell

a b c (Å): 5.217 5.217 4.968
angles (deg): 61.70 61.70 78.01
Atoms (fractional coordinates):
Al (0.299, 0.299, 0.599)
Ag (0.911, 0.911, 0.990)
Ag (0.299, 0.889, 0.306)
Ce (0.602, 0.602, 0.797)
Ag (0.889, 0.299, 0.306)

# Ce2Al7Ag12

A geometry-optimized Ce2Al7Ag12 structure (PBE, the Alexandria database).

Values from the calculation:
- Calculated volume: 406 Å³/cell
- E_form: -0.122 eV per atom
- Symmetry: P-3 (147)
- DFT total energy: -0.262 Ry per atom
- Total magnetic moment: 1.875 μB/cell

a b c (Å): 4.150 10.629 10.629
angles (deg): 120.00 90.00 90.00
Atoms (fractional coordinates):
Ag (0.248, 0.436, 0.378)
Ag (0.760, 0.880, 0.739)
Ag (0.240, 0.120, 0.261)
Al (0.255, 0.707, 0.588)
Ag (0.240, 0.141, 0.880)
Ag (0.248, 0.622, 0.058)
Ag (0.240, 0.739, 0.859)
Al (0.745, 0.293, 0.412)
Ce (0.243, 0.333, 0.667)
Ag (0.760, 0.261, 0.141)
Al (0.255, 0.412, 0.119)
Ce (0.757, 0.667, 0.333)
Ag (0.752, 0.058, 0.436)
Ag (0.752, 0.378, 0.942)
Al (0.255, 0.881, 0.293)
Al (0.745, 0.119, 0.707)
Ag (0.760, 0.859, 0.120)
Al (0.745, 0.588, 0.881)
Ag (0.752, 0.564, 0.622)
Al (0.500, 0.000, 0.000)
Ag (0.248, 0.942, 0.564)

# CeAl2Ag

A geometry-optimized CeAl2Ag structure (PBE, the Alexandria database).

Values from the calculation:
- Energy above the lowest structure with this stoichiometry: 44 kJ/mol of formula units
- Calculated volume: 78 Å³/cell
- E_form: -0.198 eV per atom
- Symmetry: P4/mmm (123)
- DFT total energy: -0.314 Ry per atom
- Total magnetic moment: 0.013 μB/cell

a b c (Å): 3.086 3.086 8.209
angles (deg): 90.00 90.00 90.00
Atoms (fractional coordinates):
Al (0.000, 0.000, 0.215)
Al (0.000, 0.000, 0.785)
Ce (0.500, 0.500, 0.500)
Ag (0.500, 0.500, 0.000)

# Ce2Al5Ag

A geometry-optimized Ce2Al5Ag structure (PBE, the Alexandria database).

Values from the calculation:
- Calculated volume: 166 Å³/cell
- E_form: -0.261 eV per atom
- Symmetry: I4/mmm (139)
- DFT total energy: -0.326 Ry per atom
- Total magnetic moment: 0.771 μB/cell

a b c (Å): 6.158 6.158 6.158
angles (deg): 90.74 119.57 119.57
Atoms (fractional coordinates):
Ce (0.500, 0.278, 0.778)
Al (0.000, 0.278, 0.278)
Ag (0.000, 0.778, 0.778)
Al (0.500, 0.778, 0.778)
Ce (0.500, 0.778, 0.278)
Al (0.500, 0.278, 0.278)
Al (0.000, 0.778, 0.278)
Al (0.000, 0.278, 0.778)

# CeAlAg

A geometry-optimized CeAlAg structure (PBE, the Alexandria database).

Values from the calculation:
- Calculated volume: 62 Å³/cell
- E_form: -0.206 eV per atom
- Symmetry: I4mm (107)
- DFT total energy: -0.322 Ry per atom
- Total magnetic moment: 0.256 μB/cell

a b c (Å): 3.141 3.141 6.660
angles (deg): 103.64 103.64 90.00
Atoms (fractional coordinates):
Ag (0.690, 0.690, 0.379)
Al (0.315, 0.315, 0.630)
Ce (0.995, 0.995, 0.990)

# CeAlAg

A geometry-optimized CeAlAg structure (PBE, the Alexandria database).

Values from the calculation:
- Calculated volume: 66 Å³/cell
- E_form: -0.289 eV per atom
- Symmetry: P-6m2 (187)
- DFT total energy: -0.328 Ry per atom
- Total magnetic moment: 0.961 μB/cell

a b c (Å): 3.315 4.803 4.803
angles (deg): 120.00 90.00 90.00
Atoms (fractional coordinates):
Ag (0.167, 0.000, 0.000)
Al (0.167, 0.333, 0.667)
Ce (0.667, 0.667, 0.333)

# Ce3Al3Ag2

A geometry-optimized Ce3Al3Ag2 structure (PBE, the Alexandria database).

Values from the calculation:
- Calculated volume: 176 Å³/cell
- E_form: -0.226 eV per atom
- Symmetry: C2/m (12)
- DFT total energy: -0.336 Ry per atom
- Total magnetic moment: 1.831 μB/cell

a b c (Å): 4.563 4.621 8.888
angles (deg): 103.09 104.87 90.00
Atoms (fractional coordinates):
Ce (0.000, 0.000, 0.000)
Ce (0.874, 0.358, 0.747)
Al (0.644, 0.155, 0.288)
Ag (0.246, 0.249, 0.492)
Ce (0.126, 0.642, 0.253)
Ag (0.754, 0.751, 0.508)
Al (0.356, 0.845, 0.712)
Al (0.500, 0.500, 0.000)

# CeAlAg4

A geometry-optimized CeAlAg4 structure (PBE, the Alexandria database).

Values from the calculation:
- Energy above the lowest structure with this stoichiometry: 45 kJ/mol of formula units
- Calculated volume: 259 Å³/cell
- E_form: -0.001 eV per atom
- Symmetry: Cmcm (63)
- DFT total energy: -0.258 Ry per atom
- Total magnetic moment: 2.179 μB/cell

a b c (Å): 5.048 7.289 7.470
angles (deg): 90.00 109.75 90.00
Atoms (fractional coordinates):
Ce (0.616, 0.250, 0.231)
Al (0.861, 0.250, 0.722)
Ag (0.402, 0.250, 0.803)
Ag (0.000, 0.500, 0.000)
Ag (0.217, 0.436, 0.434)
Al (0.139, 0.750, 0.278)
Ag (0.783, 0.936, 0.566)
Ag (0.783, 0.564, 0.566)
Ag (0.217, 0.064, 0.434)
Ag (0.000, 0.000, 0.000)
Ag (0.598, 0.750, 0.197)
Ce (0.384, 0.750, 0.769)

# CeAl2Ag5

A geometry-optimized CeAl2Ag5 structure (PBE, the Alexandria database).

Values from the calculation:
- Calculated volume: 161 Å³/cell
- E_form: -0.115 eV per atom
- Symmetry: Immm (71)
- DFT total energy: -0.263 Ry per atom
- Total magnetic moment: 0.956 μB/cell

a b c (Å): 4.095 6.734 6.734
angles (deg): 69.15 72.30 72.30
Atoms (fractional coordinates):
Ag (0.355, 0.454, 0.836)
Ce (0.000, 0.000, 0.000)
Al (0.745, 0.755, 0.755)
Ag (0.000, 0.500, 0.500)
Ag (0.645, 0.164, 0.546)
Ag (0.645, 0.546, 0.164)
Al (0.255, 0.245, 0.245)
Ag (0.355, 0.836, 0.454)

# Ce2AlAg

A geometry-optimized Ce2AlAg structure (PBE, the Alexandria database).

Values from the calculation:
- Calculated volume: 91 Å³/cell
- E_form: -0.202 eV per atom
- Symmetry: Pmmm (47)
- DFT total energy: -0.354 Ry per atom
- Total magnetic moment: 0.000 μB/cell

a b c (Å): 4.680 6.899 6.129
angles (deg): 27.31 90.00 90.00
Atoms (fractional coordinates):
Ce (0.613, 0.636, 0.586)
Ce (0.612, 0.635, 0.055)
Al (0.112, 0.135, 0.321)
Ag (0.112, 0.135, 0.820)

# CeAl4Ag8

A geometry-optimized CeAl4Ag8 structure (PBE, the Alexandria database).

Values from the calculation:
- Calculated volume: 238 Å³/cell
- E_form: -0.171 eV per atom
- Symmetry: I4/mmm (139)
- DFT total energy: -0.260 Ry per atom
- Total magnetic moment: 1.009 μB/cell

a b c (Å): 5.387 7.172 7.172
angles (deg): 81.89 67.94 67.94
Atoms (fractional coordinates):
Ce (0.000, 0.000, 0.000)
Ag (0.718, 0.782, 0.782)
Ag (0.344, 0.656, 0.656)
Al (0.500, 0.500, 0.000)
Ag (0.656, 0.344, 0.344)
Al (0.000, 0.000, 0.500)
Ag (0.000, 0.656, 0.344)
Ag (0.282, 0.218, 0.218)
Al (0.000, 0.500, 0.000)
Ag (0.500, 0.218, 0.782)
Ag (0.500, 0.782, 0.218)
Ag (0.000, 0.344, 0.656)
Al (0.500, 0.000, 0.500)

# CeAl2Ag

A geometry-optimized CeAl2Ag structure (PBE, the Alexandria database).

Values from the calculation:
- Energy above the lowest structure with this stoichiometry: 91 kJ/mol of formula units
- Calculated volume: 78 Å³/cell
- E_form: -0.075 eV per atom
- Symmetry: R-3m (166)
- DFT total energy: -0.304 Ry per atom
- Total magnetic moment: 0.000 μB/cell

a b c (Å): 2.995 2.995 10.139
angles (deg): 81.51 81.51 60.00
Atoms (fractional coordinates):
Ce (0.500, 0.500, 0.500)
Al (0.742, 0.742, 0.773)
Al (0.258, 0.258, 0.227)
Ag (0.000, 0.000, 0.000)

# CeAl4Ag

A geometry-optimized CeAl4Ag structure (PBE, the Alexandria database).

Values from the calculation:
- Energy above the lowest structure with this stoichiometry: 0 kJ/mol of formula units
- Calculated volume: 241 Å³/cell
- E_form: -0.222 eV per atom
- Symmetry: C2/m (12)
- DFT total energy: -0.307 Ry per atom
- Total magnetic moment: 1.705 μB/cell

a b c (Å): 6.200 7.172 6.200
angles (deg): 73.33 68.60 73.33
Atoms (fractional coordinates):
Al (0.420, 0.560, 0.808)
Al (0.192, 0.440, 0.580)
Al (0.718, 0.000, 0.282)
Ag (0.394, 0.794, 0.394)
Ce (0.160, 0.221, 0.160)
Al (0.580, 0.440, 0.192)
Al (0.282, 0.000, 0.718)
Ag (0.606, 0.206, 0.606)
Ce (0.840, 0.779, 0.840)
Al (0.840, 0.254, 0.840)
Al (0.160, 0.746, 0.160)
Al (0.808, 0.560, 0.420)

# CeAl4Ag

A geometry-optimized CeAl4Ag structure (PBE, the Alexandria database).

Values from the calculation:
- Energy above the lowest structure with this stoichiometry: 51 kJ/mol of formula units
- Calculated volume: 230 Å³/cell
- E_form: -0.135 eV per atom
- Symmetry: P-1 (2)
- DFT total energy: -0.301 Ry per atom
- Total magnetic moment: 1.310 μB/cell

a b c (Å): 5.154 4.626 10.256
angles (deg): 103.16 104.71 89.47
Atoms (fractional coordinates):
Al (0.772, 0.353, 0.210)
Al (0.344, 0.420, 0.339)
Al (0.993, 0.919, 0.340)
Al (0.228, 0.647, 0.790)
Ag (0.500, 0.000, 0.500)
Ce (0.203, 0.254, 0.000)
Al (0.436, 0.856, 0.210)
Ce (0.797, 0.746, 0.000)
Al (0.564, 0.144, 0.790)
Ag (0.000, 0.500, 0.500)
Al (0.007, 0.081, 0.660)
Al (0.656, 0.580, 0.661)

# Ce5Al4Ag

A geometry-optimized Ce5Al4Ag structure (PBE, the Alexandria database).

Values from the calculation:
- Calculated volume: 227 Å³/cell
- E_form: -0.274 eV per atom
- Symmetry: P4/mmm (123)
- DFT total energy: -0.369 Ry per atom
- Total magnetic moment: 0.000 μB/cell

a b c (Å): 3.152 3.152 22.895
angles (deg): 90.00 90.00 90.00
Atoms (fractional coordinates):
Ce (0.500, 0.500, 0.103)
Ce (0.500, 0.500, 0.897)
Ce (0.500, 0.500, 0.700)
Ce (0.500, 0.500, 0.500)
Ce (0.500, 0.500, 0.300)
Ag (0.000, 0.000, 0.000)
Al (0.000, 0.000, 0.200)
Al (0.000, 0.000, 0.400)
Al (0.000, 0.000, 0.600)
Al (0.000, 0.000, 0.800)

# CeAlAg4

A geometry-optimized CeAlAg4 structure (PBE, the Alexandria database).

Values from the calculation:
- Energy above the lowest structure with this stoichiometry: 0 kJ/mol of formula units
- Calculated volume: 124 Å³/cell
- E_form: -0.079 eV per atom
- Symmetry: F-43m (216)
- DFT total energy: -0.264 Ry per atom
- Total magnetic moment: 0.947 μB/cell

a b c (Å): 5.596 5.596 5.596
angles (deg): 60.00 60.00 60.00
Atoms (fractional coordinates):
Al (0.000, 0.000, 0.000)
Ce (0.250, 0.250, 0.250)
Ag (0.626, 0.626, 0.123)
Ag (0.626, 0.123, 0.626)
Ag (0.123, 0.626, 0.626)
Ag (0.626, 0.626, 0.626)

# CeAlAg

A geometry-optimized CeAlAg structure (PBE, the Alexandria database).

Values from the calculation:
- Calculated volume: 255 Å³/cell
- E_form: -0.304 eV per atom
- Symmetry: Amm2 (38)
- DFT total energy: -0.329 Ry per atom
- Total magnetic moment: 2.407 μB/cell

a b c (Å): 5.779 5.779 8.760
angles (deg): 90.00 90.00 119.36
Atoms (fractional coordinates):
Ag (0.007, 0.993, 0.760)
Ce (0.336, 0.664, 0.158)
Al (0.832, 0.168, 0.000)
Ag (0.007, 0.993, 0.240)
Ce (0.664, 0.336, 0.667)
Ce (0.664, 0.336, 0.333)
Ce (0.336, 0.664, 0.842)
Al (0.160, 0.840, 0.500)
Ag (0.163, 0.347, 0.500)
Ag (0.653, 0.837, 0.500)
Al (0.350, 0.171, 0.000)
Al (0.829, 0.650, 0.000)

# CeAl2Ag9

A geometry-optimized CeAl2Ag9 structure (PBE, the Alexandria database).

Values from the calculation:
- Calculated volume: 463 Å³/cell
- E_form: -0.081 eV per atom
- Symmetry: I4_1/amd (141)
- DFT total energy: -0.245 Ry per atom
- Total magnetic moment: 2.432 μB/cell

a b c (Å): 7.194 8.793 8.793
angles (deg): 80.37 65.86 65.86
Atoms (fractional coordinates):
Al (0.375, 0.750, 0.750)
Ce (0.250, 0.500, 0.500)
Ag (0.436, 0.822, 0.421)
Ag (0.679, 0.579, 0.178)
Ag (0.607, 0.079, 0.322)
Ag (0.750, 0.500, 0.500)
Ag (0.742, 0.579, 0.822)
Ag (0.071, 0.322, 0.921)
Ag (0.071, 0.921, 0.322)
Ag (0.314, 0.678, 0.079)
Ce (0.500, 0.000, 0.000)
Ag (0.008, 0.678, 0.921)
Ag (0.008, 0.921, 0.678)
Ag (0.314, 0.079, 0.678)
Ag (0.742, 0.822, 0.579)
Ag (0.436, 0.421, 0.822)
Al (0.875, 0.250, 0.250)
Al (0.875, 0.250, 0.750)
Ag (0.607, 0.322, 0.079)
Ag (0.679, 0.178, 0.579)
Ag (0.000, 0.000, 0.000)
Ag (0.143, 0.178, 0.421)
Al (0.875, 0.750, 0.250)
Ag (0.143, 0.421, 0.178)

# Ce2AlAg

A geometry-optimized Ce2AlAg structure (PBE, the Alexandria database).

Values from the calculation:
- Calculated volume: 90 Å³/cell
- E_form: -0.192 eV per atom
- Symmetry: P4/mmm (123)
- DFT total energy: -0.353 Ry per atom
- Total magnetic moment: 0.008 μB/cell

a b c (Å): 4.774 4.333 4.333
angles (deg): 90.00 90.00 90.00
Atoms (fractional coordinates):
Al (0.500, 0.000, 0.000)
Ag (0.500, 0.500, 0.500)
Ce (0.000, 0.000, 0.500)
Ce (0.000, 0.500, 0.000)

# CeAl2Ag

A geometry-optimized CeAl2Ag structure (PBE, the Alexandria database).

Values from the calculation:
- Energy above the lowest structure with this stoichiometry: 58 kJ/mol of formula units
- Calculated volume: 82 Å³/cell
- E_form: -0.160 eV per atom
- Symmetry: Fm-3m (225)
- DFT total energy: -0.311 Ry per atom
- Total magnetic moment: 0.856 μB/cell

a b c (Å): 4.879 4.879 4.879
angles (deg): 60.00 60.00 60.00
Atoms (fractional coordinates):
Ag (0.000, 0.000, 0.000)
Al (0.250, 0.250, 0.250)
Al (0.750, 0.750, 0.750)
Ce (0.500, 0.500, 0.500)